Record 1
# Rb2Te3Pd2 (PBE, optimized geometry)
data_Rb2Te3Pd2
_cell_length_a 9.745
_cell_length_b 9.745
_cell_length_c 9.745
_cell_angle_alpha 90.00
_cell_angle_beta 90.00
_cell_angle_gamma 90.00
_symmetry_space_group_name_H-M 'I 21 3'
_symmetry_Int_Tables_number 199
_symmetry_space_group_name_Hall 'I 2b 2c 3'
loop_
_atom_site_label
_atom_site_fract_x
_atom_site_fract_y
_atom_site_fract_z
Rb1 0.099 0.099 0.099
Te1 0.000 0.250 0.424
Pd1 0.129 0.371 0.629
# - final energy (eV/atom) = -3.384


Record 2
# GaFeNi (PBE, optimized geometry)
data_GaFeNi
_cell_length_a 4.1399
_cell_length_b 4.1399
_cell_length_c 4.9272
_cell_angle_alpha 90.00
_cell_angle_beta 90.00
_cell_angle_gamma 120.00
_symmetry_space_group_name_H-M 'P 63/m m c'
_symmetry_Int_Tables_number 194
_symmetry_space_group_name_Hall '-P 6c 2c'
loop_
_atom_site_label
_atom_site_fract_x
_atom_site_fract_y
_atom_site_fract_z
Ga1 0.3333 0.6667 0.2500
Fe1 0.3333 0.6667 0.7500
Ni1 0.0000 0.0000 0.0000
# - final energy (eV/atom) = -5.709
# - total moment (μB per atom) = 0.738


Record 3
# ZrSc3C2Se2 (PBE, optimized geometry)
data_ZrSc3C2Se2
_cell_length_a 3.4986
_cell_length_b 3.4986
_cell_length_c 12.4199
_cell_angle_alpha 90.00
_cell_angle_beta 90.00
_cell_angle_gamma 120.00
_symmetry_space_group_name_H-M 'P 3 m 1'
_symmetry_Int_Tables_number 156
_symmetry_space_group_name_Hall 'P 3 -2"'
loop_
_atom_site_label
_atom_site_fract_x
_atom_site_fract_y
_atom_site_fract_z
Zr1 0.0000 0.0000 0.0000
Sc1 0.0000 0.0000 0.3084
Sc2 0.3333 0.6667 0.5018
Sc3 0.3333 0.6667 0.8025
C1 0.6667 0.3333 0.4022
C2 0.6667 0.3333 0.9048
Se1 0.0000 0.0000 0.6533
Se2 0.3333 0.6667 0.1530
# - final energy (eV/atom) = -7.796
# - total moment (μB per atom) = 0.000


Record 4
# GdSnAuSe3 (PBE, optimized geometry)
data_GdSnAuSe3
_cell_length_a 12.184
_cell_length_b 4.240
_cell_length_c 12.743
_cell_angle_alpha 90.00
_cell_angle_beta 90.00
_cell_angle_gamma 90.00
_symmetry_space_group_name_H-M 'P n m a'
_symmetry_Int_Tables_number 62
_symmetry_space_group_name_Hall '-P 2ac 2n'
loop_
_atom_site_label
_atom_site_fract_x
_atom_site_fract_y
_atom_site_fract_z
Gd1 0.016 0.250 0.166
Sn1 0.183 0.250 0.565
Au1 0.202 0.750 0.398
Se1 0.015 0.750 0.323
Se2 0.100 0.250 0.948
Se3 0.248 0.750 0.702
# - final energy (eV/atom) = -4.629
# - total moment (μB per atom) = 0.000


Record 5
# BeZnInFe (PBE, optimized geometry)
data_BeZnInFe
_cell_length_a 5.996
_cell_length_b 5.996
_cell_length_c 5.996
_cell_angle_alpha 90.00
_cell_angle_beta 90.00
_cell_angle_gamma 90.00
_symmetry_space_group_name_H-M 'F -4 3 m'
_symmetry_Int_Tables_number 216
_symmetry_space_group_name_Hall 'F -4 2 3'
loop_
_atom_site_label
_atom_site_fract_x
_atom_site_fract_y
_atom_site_fract_z
Be1 0.000 0.000 0.000
Zn1 0.000 0.000 0.500
In1 0.250 0.250 0.250
Fe1 0.250 0.250 0.750
# - final energy (eV/atom) = -3.624
# - total moment (μB per atom) = 0.458


Record 6
# BaYLu (PBE, optimized geometry)
data_BaYLu
_cell_length_a 8.127
_cell_length_b 8.127
_cell_length_c 8.127
_cell_angle_alpha 90.00
_cell_angle_beta 90.00
_cell_angle_gamma 90.00
_symmetry_space_group_name_H-M 'F -4 3 m'
_symmetry_Int_Tables_number 216
_symmetry_space_group_name_Hall 'F -4 2 3'
loop_
_atom_site_label
_atom_site_fract_x
_atom_site_fract_y
_atom_site_fract_z
Ba1 0.000 0.000 0.000
Y1 0.000 0.000 0.500
Lu1 0.250 0.250 0.250
# - final energy (eV/atom) = -3.479
# - total moment (μB per atom) = 0.004


Record 7
# YPaTc2 (PBE, optimized geometry)
data_YPaTc2
_cell_length_a 3.422
_cell_length_b 3.422
_cell_length_c 6.971
_cell_angle_alpha 90.00
_cell_angle_beta 90.00
_cell_angle_gamma 90.00
_symmetry_space_group_name_H-M 'P 4/m m m'
_symmetry_Int_Tables_number 123
_symmetry_space_group_name_Hall '-P 4 2'
loop_
_atom_site_label
_atom_site_fract_x
_atom_site_fract_y
_atom_site_fract_z
Y1 0.000 0.000 0.000
Pa1 0.000 0.000 0.500
Tc1 0.500 0.500 0.282
# - energy of formation (eV per atom) = -0.217
# - total moment (μB per atom) = 0.000


Record 8
# RbLiPtW (PBE, optimized geometry)
data_RbLiPtW
_cell_length_a 6.631
_cell_length_b 6.631
_cell_length_c 6.631
_cell_angle_alpha 90.00
_cell_angle_beta 90.00
_cell_angle_gamma 90.00
_symmetry_space_group_name_H-M 'F -4 3 m'
_symmetry_Int_Tables_number 216
_symmetry_space_group_name_Hall 'F -4 2 3'
loop_
_atom_site_label
_atom_site_fract_x
_atom_site_fract_y
_atom_site_fract_z
Rb1 0.000 0.000 0.000
Li1 0.250 0.250 0.750
Pt1 0.000 0.000 0.500
W1 0.250 0.250 0.250
# - final energy (eV/atom) = -4.413
# - total moment (μB per atom) = 0.001


Record 9
# NbSnTe2 (PBE, optimized geometry)
data_NbSnTe2
_cell_length_a 7.266
_cell_length_b 7.266
_cell_length_c 7.266
_cell_angle_alpha 90.00
_cell_angle_beta 90.00
_cell_angle_gamma 90.00
_symmetry_space_group_name_H-M 'F -4 3 m'
_symmetry_Int_Tables_number 216
_symmetry_space_group_name_Hall 'F -4 2 3'
loop_
_atom_site_label
_atom_site_fract_x
_atom_site_fract_y
_atom_site_fract_z
Nb1 0.000 0.000 0.000
Sn1 0.250 0.250 0.250
Te1 0.000 0.000 0.500
Te2 0.250 0.250 0.750
# - final energy (eV/atom) = -4.595
# - total moment (μB per atom) = 0.149


Record 10
# GdCuSnTe2Se (PBE, optimized geometry)
data_GdCuSnTe2Se
_cell_length_a 4.208
_cell_length_b 14.402
_cell_length_c 10.651
_cell_angle_alpha 90.00
_cell_angle_beta 90.00
_cell_angle_gamma 90.00
_symmetry_space_group_name_H-M 'C m c m'
_symmetry_Int_Tables_number 63
_symmetry_space_group_name_Hall '-C 2c 2'
loop_
_atom_site_label
_atom_site_fract_x
_atom_site_fract_y
_atom_site_fract_z
Gd1 0.000 0.000 0.000
Cu1 0.000 0.476 0.250
Sn1 0.000 0.256 0.750
Te1 0.000 0.350 0.066
Se1 0.000 0.075 0.250
# - final energy (eV/atom) = -4.445
# - total moment (μB per atom) = 0.001


Record 11
# Lu3HfSb2C2 (PBE, optimized geometry)
data_Lu3HfSb2C2
_cell_length_a 3.5208
_cell_length_b 3.5208
_cell_length_c 14.5590
_cell_angle_alpha 90.00
_cell_angle_beta 90.00
_cell_angle_gamma 120.00
_symmetry_space_group_name_H-M 'P 3 m 1'
_symmetry_Int_Tables_number 156
_symmetry_space_group_name_Hall 'P 3 -2"'
loop_
_atom_site_label
_atom_site_fract_x
_atom_site_fract_y
_atom_site_fract_z
Lu1 0.0000 0.0000 0.0000
Lu2 0.0000 0.0000 0.3307
Lu3 0.3333 0.6667 0.8243
Hf1 0.3333 0.6667 0.5012
Sb1 0.0000 0.0000 0.6550
Sb2 0.3333 0.6667 0.1667
C1 0.6667 0.3333 0.4240
C2 0.6667 0.3333 0.9117
# - final energy (eV/atom) = -6.983
# - total moment (μB per atom) = 0.000


Record 12
# Y2Hf4Cu3C3 (PBE, optimized geometry)
data_Y2Hf4Cu3C3
_cell_length_a 9.965
_cell_length_b 5.753
_cell_length_c 14.318
_cell_angle_alpha 90.00
_cell_angle_beta 104.25
_cell_angle_gamma 90.00
_symmetry_space_group_name_H-M 'C 1 2/c 1'
_symmetry_Int_Tables_number 15
_symmetry_space_group_name_Hall '-C 2yc'
loop_
_atom_site_label
_atom_site_fract_x
_atom_site_fract_y
_atom_site_fract_z
Y1 0.040 0.082 0.384
Hf1 0.113 0.408 0.586
Hf2 0.225 0.420 0.914
Cu1 0.000 0.420 0.750
Cu2 0.247 0.161 0.750
C1 0.087 0.262 0.000
C2 0.250 0.250 0.500
# - final energy (eV/atom) = -8.068
# - total moment (μB per atom) = 0.001


Record 13
# Zr2Sb2Os3 (PBE, optimized geometry)
data_Zr2Sb2Os3
_cell_length_a 4.5429
_cell_length_b 4.5429
_cell_length_c 22.1842
_cell_angle_alpha 90.00
_cell_angle_beta 90.00
_cell_angle_gamma 120.00
_symmetry_space_group_name_H-M 'R 3 m'
_symmetry_Int_Tables_number 160
_symmetry_space_group_name_Hall 'R 3 -2"'
loop_
_atom_site_label
_atom_site_fract_x
_atom_site_fract_y
_atom_site_fract_z
Zr1 0.0000 0.0000 0.0000
Zr2 0.0000 0.0000 0.4911
Sb1 0.0000 0.0000 0.2394
Sb2 0.0000 0.0000 0.7487
Os1 0.0000 0.0000 0.3673
Os2 0.0000 0.0000 0.6187
Os3 0.0000 0.0000 0.8729
# - final energy (eV/atom) = -8.710
# - total moment (μB per atom) = 0.001


Record 14
# SrCd2Au2 (PBE, optimized geometry)
data_SrCd2Au2
_cell_length_a 4.447
_cell_length_b 4.447
_cell_length_c 12.529
_cell_angle_alpha 90.00
_cell_angle_beta 90.00
_cell_angle_gamma 90.00
_symmetry_space_group_name_H-M 'I 4/m m m'
_symmetry_Int_Tables_number 139
_symmetry_space_group_name_Hall '-I 4 2'
loop_
_atom_site_label
_atom_site_fract_x
_atom_site_fract_y
_atom_site_fract_z
Sr1 0.000 0.000 0.000
Cd1 0.000 0.500 0.250
Au1 0.000 0.000 0.392
# - final energy (eV/atom) = -2.515


Record 15
# ZrTl2Ir (PBE, optimized geometry)
data_ZrTl2Ir
_cell_length_a 6.943
_cell_length_b 6.943
_cell_length_c 6.943
_cell_angle_alpha 90.00
_cell_angle_beta 90.00
_cell_angle_gamma 90.00
_symmetry_space_group_name_H-M 'F -4 3 m'
_symmetry_Int_Tables_number 216
_symmetry_space_group_name_Hall 'F -4 2 3'
loop_
_atom_site_label
_atom_site_fract_x
_atom_site_fract_y
_atom_site_fract_z
Zr1 0.000 0.000 0.000
Tl1 0.000 0.000 0.500
Tl2 0.250 0.250 0.750
Ir1 0.250 0.250 0.250
# - final energy (eV/atom) = -5.391
# - total moment (μB per atom) = 0.000


Record 16
# KHf4GaC2 (PBE, optimized geometry)
data_KHf4GaC2
_cell_length_a 3.2984
_cell_length_b 3.2984
_cell_length_c 16.4080
_cell_angle_alpha 90.00
_cell_angle_beta 90.00
_cell_angle_gamma 120.00
_symmetry_space_group_name_H-M 'P -6 m 2'
_symmetry_Int_Tables_number 187
_symmetry_space_group_name_Hall 'P -6 2'
loop_
_atom_site_label
_atom_site_fract_x
_atom_site_fract_y
_atom_site_fract_z
K1 0.0000 0.0000 0.0000
Hf1 0.0000 0.0000 0.3608
Hf2 0.3333 0.6667 0.2103
Ga1 0.3333 0.6667 0.5000
C1 0.6667 0.3333 0.2852
# - final energy (eV/atom) = -8.234
# - total moment (μB per atom) = 0.099


Record 17
# TlFeW4N2 (PBE, optimized geometry)
data_TlFeW4N2
_cell_length_a 2.8837
_cell_length_b 2.8837
_cell_length_c 14.9660
_cell_angle_alpha 90.00
_cell_angle_beta 90.00
_cell_angle_gamma 120.00
_symmetry_space_group_name_H-M 'P -6 m 2'
_symmetry_Int_Tables_number 187
_symmetry_space_group_name_Hall 'P -6 2'
loop_
_atom_site_label
_atom_site_fract_x
_atom_site_fract_y
_atom_site_fract_z
Tl1 0.0000 0.0000 0.0000
Fe1 0.3333 0.6667 0.5000
W1 0.0000 0.0000 0.3604
W2 0.3333 0.6667 0.1706
N1 0.6667 0.3333 0.2638
# - final energy (eV/atom) = -9.498
# - total moment (μB per atom) = 0.214